First-principles (PBE-GGA) data for a geometry-optimized As2Pd3O8 structure, as listed in OQMD via LeMat-Bulk.

Lattice parameters (Å, degrees): 5.221 5.698 6.420 72.63 86.56 67.85
Space group P-1 (No. 2)
One atom of each set of equivalent atoms:
As 0.145 0.168 0.216 [2 per cell]
Pd 0.250 0.321 0.658 [2 per cell]
Pd 0.500 0.500 0.000 [1 per cell]
O 0.145 0.420 0.331 [2 per cell]
O 0.169 0.830 0.844 [2 per cell]
O 0.320 0.255 0.979 [2 per cell]
O 0.344 0.865 0.384 [2 per cell]

volume = 168.6 Å³/cell
uncorrected energy = -5.6426 eV per atom